(1)
# Y3Ho5Pt12, relaxed, DFT PBE-GGA
# Energy of formation from the pure elements   -612.8 meV/atom
# Total DFT energy (no corrections)   -6.3514 eV per atom
data_Y3Ho5Pt12
_space_group_name_H-M_alt 'I a -3 d'
_space_group_IT_number 230
_space_group_name_Hall '-I 4bd 2c 3'
_cell_length_a 16.1663
_cell_length_b 16.1663
_cell_length_c 16.1663
_cell_angle_alpha 90.00
_cell_angle_beta 90.00
_cell_angle_gamma 90.00
loop_
_atom_site_label
_atom_site_fract_x
_atom_site_fract_y
_atom_site_fract_z
Y1 0.0000 0.2500 0.1250
Ho1 0.0000 0.0000 0.0000
Ho2 0.0000 0.2500 0.3750
Pt1 0.0058 0.0754 0.6544

(2)
# YHo2Pt, relaxed, DFT PBE-GGA
# Energy of formation from the pure elements   -689.5 meV/atom
# Total DFT energy (no corrections)   -6.1046 eV per atom
data_YHo2Pt
_space_group_name_H-M_alt 'C m c m'
_space_group_IT_number 63
_space_group_name_Hall '-C 2c 2'
_cell_length_a 3.8129
_cell_length_b 12.1429
_cell_length_c 9.2564
_cell_angle_alpha 90.00
_cell_angle_beta 90.00
_cell_angle_gamma 90.00
loop_
_atom_site_label
_atom_site_fract_x
_atom_site_fract_y
_atom_site_fract_z
Y1 0.0000 0.0657 0.2500
Ho1 0.0000 0.3625 0.0625
Pt1 0.0000 0.2397 0.7500

(3)
# YHoPt4, relaxed, DFT PBE-GGA
# Energy of formation from the pure elements   -1118.2 meV/atom
# Total DFT energy (no corrections)   -6.9857 eV per atom
data_YHoPt4
_space_group_name_H-M_alt 'F -4 3 m'
_space_group_IT_number 216
_space_group_name_Hall 'F -4 2 3'
_cell_length_a 7.6854
_cell_length_b 7.6854
_cell_length_c 7.6854
_cell_angle_alpha 90.00
_cell_angle_beta 90.00
_cell_angle_gamma 90.00
loop_
_atom_site_label
_atom_site_fract_x
_atom_site_fract_y
_atom_site_fract_z
Y1 0.0000 0.0000 0.0000
Ho1 0.2500 0.2500 0.7500
Pt1 0.1249 0.1249 0.3751

(4)
# YHo2Pt9, relaxed, DFT PBE-GGA
# Energy of formation from the pure elements   -1036.6 meV/atom
# Total DFT energy (no corrections)   -6.8688 eV per atom
data_YHo2Pt9
_space_group_name_H-M_alt 'P 4/m m m'
_space_group_IT_number 123
_space_group_name_Hall '-P 4 2'
_cell_length_a 4.1152
_cell_length_b 4.1152
_cell_length_c 12.3453
_cell_angle_alpha 90.00
_cell_angle_beta 90.00
_cell_angle_gamma 90.00
loop_
_atom_site_label
_atom_site_fract_x
_atom_site_fract_y
_atom_site_fract_z
Y1 0.0000 0.0000 0.0000
Ho1 0.0000 0.0000 0.3338
Pt1 0.0000 0.5000 0.1680
Pt2 0.0000 0.5000 0.5000
Pt3 0.5000 0.5000 0.0000
Pt4 0.5000 0.5000 0.3339

(5)
# YHo2Pt3, relaxed, DFT PBE-GGA
# Energy of formation from the pure elements   -1231.2 meV/atom
# Total DFT energy (no corrections)   -6.8548 eV per atom
data_YHo2Pt3
_space_group_name_H-M_alt 'C m m m'
_space_group_IT_number 65
_space_group_name_Hall '-C 2 2'
_cell_length_a 4.9570
_cell_length_b 14.8671
_cell_length_c 3.4472
_cell_angle_alpha 90.00
_cell_angle_beta 90.00
_cell_angle_gamma 90.00
loop_
_atom_site_label
_atom_site_fract_x
_atom_site_fract_y
_atom_site_fract_z
Y1 0.0000 0.0000 0.0000
Ho1 0.0000 0.3335 0.0000
Pt1 0.0000 0.1690 0.5000
Pt2 0.0000 0.5000 0.5000

(6)
# Y2HoPt9, relaxed, DFT PBE-GGA
# Energy of formation from the pure elements   -1017.7 meV/atom
# Total DFT energy (no corrections)   -7.0071 eV per atom
data_Y2HoPt9
_space_group_name_H-M_alt 'P 4/m m m'
_space_group_IT_number 123
_space_group_name_Hall '-P 4 2'
_cell_length_a 4.1207
_cell_length_b 4.1207
_cell_length_c 12.3619
_cell_angle_alpha 90.00
_cell_angle_beta 90.00
_cell_angle_gamma 90.00
loop_
_atom_site_label
_atom_site_fract_x
_atom_site_fract_y
_atom_site_fract_z
Y1 0.0000 0.0000 0.1672
Ho1 0.0000 0.0000 0.5000
Pt1 0.0000 0.5000 0.0000
Pt2 0.0000 0.5000 0.3346
Pt3 0.5000 0.5000 0.1672
Pt4 0.5000 0.5000 0.5000

(7)
# Y2HoPt3, relaxed, DFT PBE-GGA
# Energy of formation from the pure elements   -1217.3 meV/atom
# Total DFT energy (no corrections)   -7.1553 eV per atom
data_Y2HoPt3
_space_group_name_H-M_alt 'P m m n'
_space_group_IT_number 59
_cell_length_a 4.9701
_cell_length_b 14.9189
_cell_length_c 3.4504
_cell_angle_alpha 90.00
_cell_angle_beta 90.00
_cell_angle_gamma 90.00
loop_
_space_group_symop_operation_xyz
'x,y,z'
'-x,-y,-z'
'-x+1/2,-y+1/2,z'
'x+1/2,y+1/2,-z'
'x+1/2,-y,-z'
'-x+1/2,y,z'
'-x,y+1/2,-z'
'x,-y+1/2,z'
loop_
_atom_site_label
_atom_site_fract_x
_atom_site_fract_y
_atom_site_fract_z
Y1 0.2500 0.0831 0.9995
Ho1 0.2500 0.7500 0.0006
Pt1 0.2500 0.2500 0.4996
Pt2 0.2500 0.5861 0.5010

(8)
# YHoPt, relaxed, DFT PBE-GGA
# Energy of formation from the pure elements   -872.8 meV/atom
# Total DFT energy (no corrections)   -6.5670 eV per atom
data_YHoPt
_space_group_name_H-M_alt 'P 1 21/m 1'
_space_group_IT_number 11
_cell_length_a 5.3488
_cell_length_b 4.5371
_cell_length_c 7.2282
_cell_angle_alpha 90.00
_cell_angle_beta 108.41
_cell_angle_gamma 90.00
loop_
_space_group_symop_operation_xyz
'x,y,z'
'-x,-y,-z'
'-x,y+1/2,-z'
'x,-y+1/2,z'
loop_
_atom_site_label
_atom_site_fract_x
_atom_site_fract_y
_atom_site_fract_z
Y1 0.2345 0.2500 0.4341
Ho1 0.2392 0.2500 0.9482
Pt1 0.3194 0.7500 0.2125

(9)
# YHo2Pt, relaxed, DFT PBE-GGA
# Energy of formation from the pure elements   -533.5 meV/atom
# Total DFT energy (no corrections)   -5.9486 eV per atom
data_YHo2Pt
_space_group_name_H-M_alt 'R 3 m'
_space_group_IT_number 160
_space_group_name_Hall 'R 3 -2"'
_cell_length_a 3.9073
_cell_length_b 3.9073
_cell_length_c 26.9868
_cell_angle_alpha 90.00
_cell_angle_beta 90.00
_cell_angle_gamma 120.00
loop_
_atom_site_label
_atom_site_fract_x
_atom_site_fract_y
_atom_site_fract_z
Y1 0.0000 0.0000 0.0000
Ho1 0.0000 0.0000 0.2294
Ho2 0.0000 0.0000 0.4412
Pt1 0.0000 0.0000 0.8358

(10)
# YbHoPt2, relaxed, DFT PBE-GGA
# Energy of formation from the pure elements   -1158.2 meV/atom
# Total DFT energy (no corrections)   -5.7045 eV per atom
data_YbHoPt2
_space_group_name_H-M_alt 'F m -3 m'
_space_group_IT_number 225
_space_group_name_Hall '-F 4 2 3'
_cell_length_a 6.9400
_cell_length_b 6.9400
_cell_length_c 6.9400
_cell_angle_alpha 90.00
_cell_angle_beta 90.00
_cell_angle_gamma 90.00
loop_
_atom_site_label
_atom_site_fract_x
_atom_site_fract_y
_atom_site_fract_z
Yb1 0.0000 0.0000 0.0000
Ho1 0.0000 0.0000 0.5000
Pt1 0.2500 0.2500 0.2500

(11)
# Ho3Zn7Pt4, relaxed, DFT PBE-GGA
# Energy of formation from the pure elements   -739.7 meV/atom
# Total DFT energy (no corrections)   -4.0836 eV per atom
data_Ho3Zn7Pt4
_space_group_name_H-M_alt 'C 1 2/m 1'
_space_group_IT_number 12
_cell_length_a 15.2367
_cell_length_b 4.3321
_cell_length_c 9.2578
_cell_angle_alpha 90.00
_cell_angle_beta 124.06
_cell_angle_gamma 90.00
loop_
_space_group_symop_operation_xyz
'x,y,z'
'-x,-y,-z'
'-x,y,-z'
'x,-y,z'
'x+1/2,y+1/2,z'
'-x+1/2,-y+1/2,-z'
'-x+1/2,y+1/2,-z'
'x+1/2,-y+1/2,z'
loop_
_atom_site_label
_atom_site_fract_x
_atom_site_fract_y
_atom_site_fract_z
Ho1 0.0000 0.0000 0.0000
Ho2 0.2047 0.5000 0.7138
Zn1 0.0000 0.0000 0.5000
Zn2 0.0043 0.5000 0.3137
Zn3 0.1449 0.0000 0.4229
Zn4 0.1722 0.5000 0.0160
Pt1 0.1175 0.0000 0.8318
Pt2 0.1609 0.5000 0.2812

(12)
# Ho8Zn2Pt, relaxed, DFT PBE-GGA
# Energy of formation from the pure elements   -335.4 meV/atom
# Total DFT energy (no corrections)   -4.4455 eV per atom
data_Ho8Zn2Pt
_space_group_name_H-M_alt 'C 1 2/m 1'
_space_group_IT_number 12
_cell_length_a 17.5553
_cell_length_b 5.0467
_cell_length_c 6.7028
_cell_angle_alpha 90.00
_cell_angle_beta 103.20
_cell_angle_gamma 90.00
loop_
_space_group_symop_operation_xyz
'x,y,z'
'-x,-y,-z'
'-x,y,-z'
'x,-y,z'
'x+1/2,y+1/2,z'
'-x+1/2,-y+1/2,-z'
'-x+1/2,y+1/2,-z'
'x+1/2,-y+1/2,z'
loop_
_atom_site_label
_atom_site_fract_x
_atom_site_fract_y
_atom_site_fract_z
Ho1 0.0270 0.0000 0.2772
Ho2 0.0903 0.5000 0.9440
Ho3 0.1594 0.5000 0.4684
Ho4 0.2047 0.0000 0.8249
Zn1 0.1901 0.0000 0.2369
Pt1 0.0000 0.5000 0.5000